The following is a DFT calculation (SCAN) of Sb2WBr at its PBEsol-relaxed geometry.

Calculated values
- volume (A^3/atom) = 22.5
- energy above the lowest structure with this stoichiometry (meV/atom) = 0
- space group = P4mm
- ΔE_f (raw) (meV per atom) = 688.5

a b c (Å): 3.4437 3.4437 7.6041
angles (deg): 90.00 90.00 90.00
Closest atoms and distances in Å follow each position.
Positions (direct):
Sb1 0.5000 0.5000 0.2899  4 W 2.76, 4 Sb 3.04
Sb2 0.0000 0.0000 0.0510  4 Sb 3.04, 1 W 3.12
Br1 0.5000 0.5000 0.6982  4 W 3.03, 1 Sb 3.10
W1 0.0000 0.0000 0.4610  4 Sb 2.76, 4 Br 3.03